Ca2Ac9Ho: relaxed, GGA-PBE.

Lattice parameters (Å, degrees): 5.558 5.558 16.675 90.00 90.00 90.00
Space group P4/mmm (No. 123)
Unique sites:
Ca  0.000  0.000  0.168 x2
Ac  0.000  0.500  0.000 x2
Ac  0.000  0.500  0.339 x4
Ac  0.500  0.500  0.168 x2
Ac  0.500  0.500  0.500 x1
Ho  0.000  0.000  0.500 x1

Calculated values
Energy of formation from the pure elements, eV per atom: 0.027
VASP energy, Ry/atom: -0.2771